# 1
This record from Alexandria describes a geometry-optimized Pr2Al2ZnNi5 structure. The functional is PBE-GGA.

Lattice parameters (Å, degrees): 10.275 10.275 3.046 90.00 90.00 90.00
Atoms (fractional coordinates):
1 Pr 0.174 0.326 0.000
2 Pr 0.326 0.826 0.000
3 Pr 0.674 0.174 0.000
4 Pr 0.826 0.674 0.000
5 Al 0.127 0.627 0.000
6 Al 0.373 0.127 0.000
7 Al 0.627 0.873 0.000
8 Al 0.873 0.373 0.000
9 Zn 0.000 0.000 0.000
10 Zn 0.500 0.500 0.000
11 Ni 0.000 0.500 0.500
12 Ni 0.056 0.807 0.500
13 Ni 0.193 0.056 0.500
14 Ni 0.307 0.556 0.500
15 Ni 0.444 0.307 0.500
16 Ni 0.500 0.000 0.500
17 Ni 0.556 0.693 0.500
18 Ni 0.693 0.444 0.500
19 Ni 0.807 0.944 0.500
20 Ni 0.944 0.193 0.500

Properties
space-group type: No. 127
VASP energy: -4.946 eV/atom
density of states at the Fermi level: 0.6898 states/eV/atom

---

# 2
This record from Alexandria describes a geometry-optimized Al2NiPt9 structure. The functional is PBE-GGA.

Lattice parameters (Å, degrees): 3.913 3.913 11.730 90.00 90.00 90.00
Atoms (fractional coordinates):
1 Al 0.000 0.000 0.170
2 Al 0.000 0.000 0.830
3 Ni 0.000 0.000 0.500
4 Pt 0.000 0.500 0.000
5 Pt 0.000 0.500 0.334
6 Pt 0.000 0.500 0.666
7 Pt 0.500 0.000 0.000
8 Pt 0.500 0.000 0.334
9 Pt 0.500 0.000 0.666
10 Pt 0.500 0.500 0.167
11 Pt 0.500 0.500 0.500
12 Pt 0.500 0.500 0.833

Properties
space-group type: No. 123
VASP energy: -6.110 eV/atom
density of states at the Fermi level: 1.2719 states/eV/atom

---

# 3
This record from Alexandria describes a geometry-optimized AlNi2Pt structure. The functional is PBE-GGA.

Lattice parameters (Å, degrees): 4.454 4.454 4.454 129.74 129.74 73.82
Atoms (fractional coordinates):
1 Al 0.000 0.000 0.000
2 Ni 0.500 0.500 0.000
3 Ni 0.750 0.250 0.500
4 Pt 0.250 0.750 0.500

Properties
space-group type: No. 119
VASP energy: -5.881 eV/atom
density of states at the Fermi level: 1.4106 states/eV/atom

---

# 4
This record from Alexandria describes a geometry-optimized Al5Ni4Pt structure. The functional is PBE-GGA.

Lattice parameters (Å, degrees): 2.940 2.940 14.614 90.00 90.00 90.00
Atoms (fractional coordinates):
1 Al 0.000 0.000 0.000
2 Al 0.000 0.000 0.193
3 Al 0.000 0.000 0.386
4 Al 0.000 0.000 0.614
5 Al 0.000 0.000 0.807
6 Ni 0.500 0.500 0.096
7 Ni 0.500 0.500 0.290
8 Ni 0.500 0.500 0.710
9 Ni 0.500 0.500 0.904
10 Pt 0.500 0.500 0.500

Properties
space-group type: No. 123
VASP energy: -5.502 eV/atom
density of states at the Fermi level: 0.3607 states/eV/atom

---

# 5
This record from Alexandria describes a geometry-optimized AlNi2Pt structure. The functional is PBE-GGA.

Lattice parameters (Å, degrees): 2.750 3.457 5.366 90.00 90.00 90.00
Atoms (fractional coordinates):
1 Al 0.000 0.000 0.000
2 Ni 0.000 0.000 0.462
3 Ni 0.500 0.500 0.244
4 Pt 0.500 0.500 0.738

Properties
space-group type: No. 25
VASP energy: -5.821 eV/atom
density of states at the Fermi level: 1.2622 states/eV/atom

---

# 6
This record from Alexandria describes a geometry-optimized AlNiPt structure. The functional is PBE-GGA.

Lattice parameters (Å, degrees): 3.999 3.999 4.001 119.78 119.78 60.02
Atoms (fractional coordinates):
1 Al 0.000 0.000 0.000
2 Ni 0.750 0.750 0.251
3 Pt 0.250 0.250 0.749

Properties
space-group type: No. 8
VASP energy: -5.701 eV/atom
density of states at the Fermi level: 0.4123 states/eV/atom

---

# 7
This record from Alexandria describes a geometry-optimized Al2NiPt structure. The functional is PBE-GGA.

Lattice parameters (Å, degrees): 4.335 4.335 4.847 101.11 101.11 38.58
Atoms (fractional coordinates):
1 Al 0.247 0.247 0.239
2 Al 0.753 0.753 0.761
3 Ni 0.500 0.500 0.000
4 Pt 0.000 0.000 0.500

Properties
space-group type: No. 12
VASP energy: -5.456 eV/atom
density of states at the Fermi level: 0.2535 states/eV/atom

---

# 8
This record from Alexandria describes a geometry-optimized Al6Ni5Pt structure. The functional is PBE-GGA.

Lattice parameters (Å, degrees): 4.111 5.946 6.500 90.00 108.28 90.00
Atoms (fractional coordinates):
1 Al 0.000 0.239 0.000
2 Al 0.000 0.761 0.000
3 Al 0.329 0.245 0.658
4 Al 0.329 0.755 0.658
5 Al 0.671 0.245 0.342
6 Al 0.671 0.755 0.342
7 Ni 0.164 0.000 0.330
8 Ni 0.167 0.500 0.333
9 Ni 0.500 0.000 0.000
10 Ni 0.833 0.500 0.667
11 Ni 0.836 0.000 0.670
12 Pt 0.500 0.500 0.000

Properties
space-group type: No. 10
VASP energy: -5.493 eV/atom
density of states at the Fermi level: 0.3881 states/eV/atom

---

# 9
This record from Alexandria describes a geometry-optimized AlNi2Pt4 structure. The functional is PBE-GGA.

Lattice parameters (Å, degrees): 5.150 5.150 5.150 107.02 107.02 114.50
Atoms (fractional coordinates):
1 Al 0.000 0.000 0.000
2 Ni 0.000 0.500 0.500
3 Ni 0.500 0.000 0.500
4 Pt 0.000 0.000 0.500
5 Pt 0.000 0.500 0.000
6 Pt 0.500 0.000 0.000
7 Pt 0.500 0.500 0.500

Properties
space-group type: No. 139
VASP energy: -5.926 eV/atom
density of states at the Fermi level: 1.1689 states/eV/atom

---

# 10
This record from Alexandria describes a geometry-optimized AlNi3Pt2 structure. The functional is PBE-GGA.

Lattice parameters (Å, degrees): 7.911 7.911 7.911 120.13 120.13 89.78
Atoms (fractional coordinates):
1 Al 0.085 0.335 0.750
2 Al 0.335 0.085 0.250
3 Al 0.665 0.915 0.750
4 Al 0.915 0.665 0.250
5 Ni 0.000 0.500 0.500
6 Ni 0.089 0.339 0.179
7 Ni 0.089 0.911 0.750
8 Ni 0.339 0.089 0.679
9 Ni 0.339 0.661 0.250
10 Ni 0.500 0.000 0.000
11 Ni 0.500 0.500 0.000
12 Ni 0.500 0.500 0.500
13 Ni 0.661 0.339 0.750
14 Ni 0.661 0.911 0.321
15 Ni 0.911 0.089 0.250
16 Ni 0.911 0.661 0.821
17 Pt 0.274 0.721 0.553
18 Pt 0.279 0.332 0.553
19 Pt 0.279 0.726 0.947
20 Pt 0.332 0.279 0.053
21 Pt 0.668 0.721 0.947
22 Pt 0.721 0.274 0.053
23 Pt 0.721 0.668 0.447
24 Pt 0.726 0.279 0.447

Properties
space-group type: No. 141
VASP energy: -5.696 eV/atom
density of states at the Fermi level: 1.4736 states/eV/atom

---

# 11
This record from Alexandria describes a geometry-optimized AlNi3Pt6 structure. The functional is PBE-GGA.

Lattice parameters (Å, degrees): 8.409 3.896 8.678 90.00 92.93 90.00
Atoms (fractional coordinates):
1 Al 0.064 0.250 0.388
2 Al 0.936 0.750 0.612
3 Ni 0.254 0.250 0.997
4 Ni 0.346 0.750 0.805
5 Ni 0.446 0.250 0.605
6 Ni 0.554 0.750 0.395
7 Ni 0.654 0.250 0.195
8 Ni 0.746 0.750 0.003
9 Pt 0.056 0.750 0.899
10 Pt 0.143 0.250 0.689
11 Pt 0.158 0.750 0.200
12 Pt 0.257 0.750 0.506
13 Pt 0.368 0.250 0.307
14 Pt 0.458 0.750 0.100
15 Pt 0.542 0.250 0.900
16 Pt 0.632 0.750 0.693
17 Pt 0.743 0.250 0.494
18 Pt 0.842 0.250 0.800
19 Pt 0.857 0.750 0.311
20 Pt 0.944 0.250 0.101

Properties
space-group type: No. 11
VASP energy: -6.027 eV/atom
density of states at the Fermi level: 1.4591 states/eV/atom

---

# 12
This record from Alexandria describes a geometry-optimized AlNi2Pt structure. The functional is PBE-GGA.

Lattice parameters (Å, degrees): 8.269 8.269 8.269 18.91 18.91 18.91
Atoms (fractional coordinates):
1 Al 0.000 0.000 0.000
2 Ni 0.256 0.256 0.256
3 Ni 0.744 0.744 0.744
4 Pt 0.500 0.500 0.500

Properties
space-group type: No. 166
VASP energy: -5.625 eV/atom
density of states at the Fermi level: 1.5627 states/eV/atom

---

# 13
This record from Alexandria describes a geometry-optimized Al2Ni3Pt4 structure. The functional is PBE-GGA.

Lattice parameters (Å, degrees): 4.506 4.506 7.978 102.19 102.19 51.22
Atoms (fractional coordinates):
1 Al 0.172 0.172 0.224
2 Al 0.828 0.828 0.776
3 Ni 0.160 0.160 0.540
4 Ni 0.500 0.500 0.000
5 Ni 0.840 0.840 0.460
6 Pt 0.167 0.167 0.887
7 Pt 0.490 0.490 0.667
8 Pt 0.510 0.510 0.333
9 Pt 0.833 0.833 0.113

Properties
space-group type: No. 12
VASP energy: -6.000 eV/atom
density of states at the Fermi level: 1.1505 states/eV/atom

---

# 14
This record from Alexandria describes a geometry-optimized Al2NiPt structure. The functional is PBE-GGA.

Lattice parameters (Å, degrees): 4.717 4.717 4.161 106.74 106.74 38.62
Atoms (fractional coordinates):
1 Al 0.000 0.000 0.000
2 Al 0.236 0.236 0.643
3 Ni 0.503 0.503 0.518
4 Pt 0.741 0.741 0.146

Properties
space-group type: No. 8
VASP energy: -5.599 eV/atom
density of states at the Fermi level: 0.2214 states/eV/atom

---

# 15
This record from Alexandria describes a geometry-optimized Al2NiPt structure. The functional is PBE-GGA.

Lattice parameters (Å, degrees): 3.257 3.257 5.323 90.00 90.00 90.00
Atoms (fractional coordinates):
1 Al 0.000 0.000 0.000
2 Al 0.500 0.500 0.306
3 Ni 0.000 0.000 0.476
4 Pt 0.500 0.500 0.798

Properties
space-group type: No. 99
VASP energy: -5.475 eV/atom
density of states at the Fermi level: 0.5245 states/eV/atom

---

# 16
This record from Alexandria describes a geometry-optimized AlNi2Pt structure. The functional is PBE-GGA.

Lattice parameters (Å, degrees): 4.528 4.528 4.528 131.45 131.45 71.10
Atoms (fractional coordinates):
1 Al 0.000 0.000 0.000
2 Ni 0.250 0.750 0.500
3 Ni 0.750 0.250 0.500
4 Pt 0.500 0.500 0.000

Properties
space-group type: No. 139
VASP energy: -5.840 eV/atom
density of states at the Fermi level: 1.4401 states/eV/atom

---

# 17
This record from Alexandria describes a geometry-optimized AlNiPt4 structure. The functional is PBE-GGA.

Lattice parameters (Å, degrees): 5.209 5.209 5.209 60.00 60.00 60.00
Atoms (fractional coordinates):
1 Al 0.000 0.000 0.000
2 Ni 0.750 0.750 0.750
3 Pt 0.375 0.375 0.375
4 Pt 0.375 0.375 0.874
5 Pt 0.375 0.874 0.375
6 Pt 0.874 0.375 0.375

Properties
space-group type: No. 216
VASP energy: -5.535 eV/atom
offset from the most stable computed form: 0.391 eV per atom
density of states at the Fermi level: 0.9290 states/eV/atom

---

# 18
This record from Alexandria describes a geometry-optimized AlNi2Pt structure. The functional is PBE-GGA.

Lattice parameters (Å, degrees): 4.415 4.415 2.751 90.00 90.00 107.59
Atoms (fractional coordinates):
1 Al 0.000 0.000 0.000
2 Ni 0.000 0.500 0.500
3 Ni 0.500 0.000 0.500
4 Pt 0.500 0.500 0.000

Properties
space-group type: No. 65
VASP energy: -5.805 eV/atom
density of states at the Fermi level: 0.6353 states/eV/atom

---

# 19
This record from Alexandria describes a geometry-optimized Al2NiPt4 structure. The functional is PBE-GGA.

Lattice parameters (Å, degrees): 6.620 6.078 4.708 74.52 62.22 43.27
Atoms (fractional coordinates):
1 Al 0.139 0.139 0.861
2 Al 0.861 0.861 0.139
3 Ni 0.500 0.500 0.500
4 Pt 0.000 0.000 0.500
5 Pt 0.250 0.250 0.250
6 Pt 0.500 0.500 0.000
7 Pt 0.750 0.750 0.750

Properties
space-group type: No. 69
VASP energy: -5.721 eV/atom
density of states at the Fermi level: 0.9517 states/eV/atom

---

# 20
This record from Alexandria describes a geometry-optimized AlNi3Pt structure. The functional is PBE-GGA.

Lattice parameters (Å, degrees): 4.188 4.188 4.188 90.00 90.00 90.00
Atoms (fractional coordinates):
1 Al 0.000 0.000 0.000
2 Ni 0.000 0.000 0.500
3 Ni 0.000 0.500 0.000
4 Ni 0.500 0.000 0.000
5 Pt 0.500 0.500 0.500

Properties
space-group type: No. 221
VASP energy: -4.684 eV/atom
offset from the most stable computed form: 0.443 eV per atom
density of states at the Fermi level: 1.4213 states/eV/atom